[1]
PaMn2O5: optimized geometry, GGA+U.

Values from the calculation:
**Final energy**: -271.1 eV for the cell shown
**Space-group type**: No. 62

a b c (Å): 7.329 6.578 9.335
angles (deg): 90.00 90.00 90.00
Last column: magnetic moment on the atom in μB.
Positions (direct):
O1 0.885 0.750 0.233  -0.05
Pa1 0.056 0.250 0.996  0.09
O2 0.534 0.750 0.007  -0.16
O3 0.166 0.963 0.058  0.03
Pa2 0.556 0.750 0.504  0.09
O4 0.334 0.537 0.558  0.03
O5 0.966 0.750 0.507  -0.16
O6 0.834 0.463 0.942  0.03
O7 0.385 0.250 0.267  -0.05
Mn1 0.067 0.511 0.647  4.38
O8 0.064 0.750 0.785  -0.06
Pa3 0.944 0.750 0.004  0.09
Mn2 0.433 0.989 0.147  4.38
O9 0.466 0.250 0.993  -0.16
Mn3 0.567 0.489 0.853  4.38
O10 0.615 0.750 0.733  -0.05
O11 0.666 0.037 0.442  0.03
Mn4 0.067 0.989 0.647  4.38
O12 0.834 0.037 0.942  0.03
Mn5 0.567 0.011 0.853  4.38
O13 0.166 0.537 0.058  0.03
O14 0.115 0.250 0.767  -0.05
O15 0.436 0.750 0.285  -0.06
O16 0.334 0.963 0.558  0.03
O17 0.666 0.463 0.442  0.03
O18 0.564 0.250 0.715  -0.06
Mn6 0.433 0.511 0.147  4.38
O19 0.936 0.250 0.215  -0.06
Mn7 0.933 0.011 0.353  4.38
O20 0.034 0.250 0.493  -0.16
Pa4 0.444 0.250 0.496  0.09
Mn8 0.933 0.489 0.353  4.38

---

[2]
Pa2Mn4O9: optimized geometry, GGA+U.

Values from the calculation:
**Final energy**: -256.9 eV for the cell shown
**Space-group type**: No. 2

a b c (Å): 5.529 5.536 15.088
angles (deg): 89.98 90.08 60.08
Last column: magnetic moment on the atom in μB.
Positions (direct):
Mn1 0.334 0.334 0.192  4.62
O1 0.713 0.287 0.253  0.03
O2 0.975 0.365 0.420  0.02
O3 0.972 0.666 0.915  0.05
O4 0.025 0.635 0.580  0.02
O5 0.334 0.638 0.085  0.05
O6 0.287 0.713 0.747  0.03
Pa1 0.002 0.000 0.365  0.05
Mn2 0.669 0.665 0.313  4.61
O7 0.666 0.362 0.915  0.05
Pa2 0.998 0.000 0.635  0.05
Mn3 0.667 0.667 0.016  4.62
Mn4 0.666 0.667 0.510  0.99
Pa3 0.001 0.000 0.142  0.16
O8 0.362 0.972 0.916  0.05
O9 0.338 0.023 0.579  0.01
Mn5 0.331 0.335 0.687  4.61
Mn6 0.333 0.333 0.984  4.62
O10 0.634 0.341 0.580  0.02
O11 0.366 0.659 0.420  0.02
O12 0.028 0.334 0.085  0.05
O13 0.711 0.000 0.747  0.03
Mn7 0.334 0.333 0.490  0.99
O14 0.638 0.028 0.084  0.05
Pa4 0.999 0.000 0.858  0.16
O15 0.662 0.977 0.421  0.01
O16 0.289 0.000 0.253  0.03
O17 0.001 0.712 0.253  0.03
O18 0.999 0.288 0.747  0.03
Mn8 0.666 0.666 0.808  4.62

---

[3]
PaMn3O8: optimized geometry, GGA+U.

Values from the calculation:
**Final energy**: -94.6 eV for the cell shown
**Space-group type**: No. 12

a b c (Å): 7.103 6.838 5.643
angles (deg): 131.39 90.00 121.29
Last column: magnetic moment on the atom in μB.
Positions (direct):
Pa1 0.000 0.000 0.000  0.06
O1 0.262 0.936 0.173  -0.15
Mn1 0.500 0.000 0.000  3.21
O2 0.754 0.507 0.449  -0.10
Mn2 0.000 0.500 0.000  3.82
O3 0.246 0.493 0.551  -0.10
O4 0.198 0.396 0.992  -0.17
O5 0.738 0.064 0.827  -0.15
O6 0.674 0.936 0.173  -0.15
O7 0.802 0.604 0.008  -0.17
O8 0.326 0.064 0.827  -0.15
Mn3 0.500 0.500 0.000  3.82

---

[4]
Pa2MnO7: optimized geometry, GGA+U.

Values from the calculation:
**Final energy**: -88.7 eV for the cell shown
**Space-group type**: No. 12

a b c (Å): 3.831 4.003 10.015
angles (deg): 78.52 82.01 58.48
Last column: magnetic moment on the atom in μB.
Positions (direct):
Pa1 0.943 0.921 0.214  0.02
O1 0.285 0.270 0.174  -0.01
O2 0.000 0.000 0.000  0.00
O3 0.593 0.553 0.301  -0.06
O4 0.407 0.447 0.699  -0.06
O5 0.907 0.821 0.452  -0.39
O6 0.715 0.730 0.826  -0.01
O7 0.093 0.179 0.548  -0.39
Pa2 0.057 0.079 0.786  0.02
Mn1 0.500 0.500 0.500  3.91

---

[5]
PaMnO4: optimized geometry, GGA+U.

Values from the calculation:
**Final energy**: -53.1 eV for the cell shown
**ΔE to the lowest computed polymorph**: 0 meV/atom
**Space-group type**: No. 12

a b c (Å): 3.822 3.822 5.191
angles (deg): 98.17 98.17 88.57
Last column: magnetic moment on the atom in μB.
Positions (direct):
O1 0.918 0.942 0.250  -0.02
O2 0.082 0.058 0.750  -0.02
O3 0.442 0.418 0.250  -0.02
O4 0.558 0.582 0.750  -0.02
Pa1 0.000 0.500 0.500  0.07
Mn1 0.500 0.000 0.000  3.90

---

[6]
PaMn3O6: optimized geometry, GGA+U.

Values from the calculation:
**Final energy**: -84.3 eV for the cell shown
**Space-group type**: No. 146

a b c (Å): 5.491 5.491 5.821
angles (deg): 61.86 61.86 60.00
Last column: magnetic moment on the atom in μB.
Positions (direct):
O1 0.538 0.265 0.258  -0.01
O2 0.938 0.538 0.258  -0.01
O3 0.445 0.767 0.749  -0.01
Mn1 0.646 0.646 0.063  4.41
O4 0.038 0.445 0.749  -0.01
O5 0.767 0.038 0.749  -0.01
Mn2 0.149 0.149 0.553  4.35
Pa1 0.854 0.854 0.437  0.18
O6 0.265 0.938 0.258  -0.01
Mn3 0.358 0.358 0.926  4.62

---

[7]
Pa4MnO10: optimized geometry, GGA+U.

Values from the calculation:
**Final energy**: -145.5 eV for the cell shown
**Space-group type**: No. 87

a b c (Å): 5.407 6.626 6.626
angles (deg): 80.42 65.92 65.92
Last column: magnetic moment on the atom in μB.
Positions (direct):
Pa1 0.602 0.195 0.602  0.47
O1 0.750 0.500 0.500  -0.02
Pa2 0.398 0.805 0.398  0.47
Pa3 0.204 0.398 0.195  0.47
O2 0.154 0.305 0.896  0.00
O3 0.846 0.695 0.104  0.00
O4 0.644 0.305 0.896  0.00
Pa4 0.796 0.602 0.805  0.47
Mn1 0.000 0.000 0.000  4.67
O5 0.250 0.500 0.500  -0.02
O6 0.459 0.896 0.695  0.00
O7 0.356 0.695 0.104  0.00
O8 0.950 0.896 0.695  0.00
O9 0.050 0.104 0.305  0.00
O10 0.541 0.104 0.305  0.00

---

[8]
Pa3Mn5O12: optimized geometry, GGA+U.

Values from the calculation:
**Final energy**: -702.8 eV for the cell shown
**Space-group type**: No. 230

a b c (Å): 11.109 11.109 11.109
angles (deg): 109.47 109.47 109.47
Last column: magnetic moment on the atom in μB.
Positions (direct):
O1 0.864 0.586 0.912  0.05
Mn1 0.875 0.250 0.625  4.51
Pa1 0.750 0.875 0.625  -0.21
O2 0.174 0.088 0.952  0.05
O3 0.088 0.174 0.452  0.05
O4 0.777 0.326 0.914  0.05
O5 0.586 0.864 0.412  0.05
O6 0.548 0.223 0.136  0.05
O7 0.326 0.548 0.412  0.05
O8 0.914 0.826 0.777  0.05
Mn2 0.125 0.375 0.250  4.51
O9 0.048 0.636 0.723  0.05
Mn3 0.875 0.625 0.750  4.51
O10 0.548 0.326 0.912  0.05
O11 0.412 0.048 0.326  0.05
O12 0.674 0.452 0.588  0.05
O13 0.048 0.412 0.826  0.05
O14 0.864 0.277 0.452  0.05
Pa2 0.625 0.375 0.750  -0.21
Mn4 0.000 0.000 0.000  4.61
Mn5 0.750 0.625 0.375  4.51
O15 0.826 0.914 0.277  0.05
O16 0.912 0.086 0.864  0.05
O17 0.588 0.952 0.674  0.05
Mn6 0.000 0.500 0.000  4.61
O18 0.452 0.777 0.864  0.05
O19 0.136 0.723 0.548  0.05
O20 0.414 0.136 0.588  0.05
Mn7 0.375 0.125 0.750  4.51
Mn8 0.500 0.500 0.000  4.61
O21 0.086 0.174 0.223  0.05
Pa3 0.250 0.125 0.375  -0.21
O22 0.636 0.588 0.914  0.05
Mn9 0.000 0.000 0.500  4.61
O23 0.086 0.912 0.364  0.05
O24 0.588 0.636 0.414  0.05
Mn10 0.500 0.500 0.500  4.61
O25 0.952 0.364 0.277  0.05
O26 0.674 0.223 0.586  0.05
O27 0.326 0.777 0.414  0.05
Pa4 0.875 0.125 0.250  -0.21
O28 0.174 0.086 0.723  0.05
Mn11 0.625 0.750 0.875  4.51
O29 0.412 0.364 0.586  0.05
O30 0.914 0.088 0.636  0.05
O31 0.777 0.452 0.364  0.05
O32 0.277 0.864 0.952  0.05
O33 0.952 0.588 0.174  0.05
Mn12 0.625 0.875 0.250  4.51
Pa5 0.375 0.625 0.250  -0.21
O34 0.723 0.586 0.174  0.05
O35 0.414 0.277 0.326  0.05
O36 0.223 0.674 0.086  0.05
Pa6 0.750 0.375 0.125  -0.21
Mn13 0.250 0.875 0.125  4.51
Pa7 0.250 0.625 0.875  -0.21
Pa8 0.625 0.250 0.375  -0.21
O37 0.452 0.674 0.088  0.05
Pa9 0.875 0.750 0.125  -0.21
Pa10 0.125 0.250 0.875  -0.21
O38 0.636 0.048 0.223  0.05
O39 0.223 0.548 0.636  0.05
O40 0.088 0.914 0.136  0.05
O41 0.364 0.412 0.086  0.05
Pa11 0.125 0.875 0.750  -0.21
Mn14 0.000 0.500 0.500  4.61
O42 0.826 0.912 0.048  0.05
Mn15 0.375 0.250 0.125  4.51
Mn16 0.500 0.000 0.500  4.61
Mn17 0.125 0.750 0.375  4.51
Mn18 0.500 0.000 0.000  4.61
Pa12 0.375 0.750 0.625  -0.21
Mn19 0.750 0.125 0.875  4.51
O43 0.912 0.826 0.548  0.05
O44 0.136 0.414 0.088  0.05
O45 0.277 0.414 0.826  0.05
O46 0.586 0.723 0.674  0.05
O47 0.723 0.136 0.048  0.05
O48 0.364 0.952 0.777  0.05
Mn20 0.250 0.375 0.625  4.51

---

> Number 6 is which compound?

PaMn3O6